1.
Compound: NaLi2Sb2
Source: Alexandria
Functional: PBE
Structure: optimized geometry

abc: 8.6788 8.6788 3.0920
angles: 90.00 90.00 90.00
Sites, in units of the cell vectors:
Sb1 0.1703 0.3297 0.0000
Sb2 0.8297 0.6703 0.0000
Sb3 0.6703 0.1703 0.0000
Sb4 0.3297 0.8297 0.0000
Na1 0.0000 0.0000 0.0000
Na2 0.5000 0.5000 0.0000
Li1 0.8763 0.3763 0.5000
Li2 0.3763 0.1237 0.5000
Li3 0.1237 0.6237 0.5000
Li4 0.6237 0.8763 0.5000

Computed properties:
total energy = -3.099 eV/atom
crystal system = tetragonal
total magnetic moment = 0.000 μB/f.u.
E_form (uncorrected) = -0.42 eV per atom
symmetry = No. 127
excess energy over the best structure of this formula in the dataset = 0.024 eV per atom


2.
Compound: DyTmSc14
Source: Alexandria
Functional: PBE
Structure: optimized geometry

abc: 6.6963 6.6963 10.3962
angles: 90.00 90.00 119.91
Sites, in units of the cell vectors:
Sc1 0.1666 0.3333 0.5000
Sc2 0.3324 0.1673 0.7431
Sc3 0.3344 0.6656 0.7476
Sc4 0.8345 0.1655 0.2528
Sc5 0.1668 0.3330 0.0000
Sc6 0.3324 0.1673 0.2569
Sc7 0.6667 0.8334 0.5000
Sc8 0.6670 0.8332 0.0000
Sc9 0.1670 0.8330 0.5000
Sc10 0.6671 0.3329 0.5000
Sc11 0.8327 0.6676 0.7431
Sc12 0.8327 0.6676 0.2569
Sc13 0.3344 0.6656 0.2524
Sc14 0.8345 0.1655 0.7472
Tm1 0.1653 0.8347 0.0000
Dy1 0.6654 0.3346 0.0000

Computed properties:
total energy = -6.098 eV/atom
crystal system = orthorhombic
total magnetic moment = 0.002 μB/f.u.
formation energy from the elements = 0.15 eV per formula unit
symmetry = No. 38


3.
Compound: Cd2AsS
Source: Alexandria
Functional: PBE
Structure: optimized geometry

abc: 4.8984 4.8984 4.8984
angles: 60.00 60.00 60.00
Sites, in units of the cell vectors:
Cd1 0.7500 0.7500 0.7500
Cd2 0.2500 0.2500 0.2500
S1 0.0000 0.0000 0.0000
As1 0.5000 0.5000 0.5000

Computed properties:
total energy = -2.415 eV/atom
crystal system = cubic
total magnetic moment = 0.000 μB/f.u.
E_form (uncorrected) = 0.24 eV per atom
symmetry = No. 225
excess energy over the best structure of this formula in the dataset = 0.406 eV per atom


4.
Compound: KB2Pt2
Source: Alexandria
Functional: PBE
Structure: optimized geometry

abc: 6.1931 5.8927 6.0854
angles: 74.49 59.41 58.30
Sites, in units of the cell vectors:
Pt1 0.4874 0.2501 0.0253
Pt2 0.5126 0.7499 0.9747
Pt3 0.2374 0.7499 0.5253
Pt4 0.7625 0.2501 0.4747
K1 0.1250 0.2499 0.7500
K2 0.8750 0.7501 0.2500
B1 0.7917 0.9167 0.7500
B2 0.4583 0.5834 0.7500
B3 0.2083 0.0833 0.2500
B4 0.5417 0.4166 0.2500

Computed properties:
total energy = -5.510 eV/atom
crystal system = orthorhombic
total magnetic moment = 0.000 μB/f.u.
formation energy from the elements = -1.02 eV per formula unit
symmetry = No. 70
excess energy over the best structure of this formula in the dataset = 0.000 eV per atom


5.
Compound: Pm3Ge2Rh4
Source: Alexandria
Functional: PBE
Structure: optimized geometry

abc: 4.1366 5.7403 9.0216
angles: 110.03 90.00 111.12
Sites, in units of the cell vectors:
Rh1 0.7186 0.4372 0.0673
Rh2 0.1365 0.2730 0.4424
Rh3 0.8635 0.7270 0.5576
Rh4 0.2814 0.5628 0.9327
Pm1 0.6289 0.2578 0.6936
Pm2 0.3711 0.7422 0.3064
Pm3 0.0000 0.0000 0.0000
Ge1 0.3469 0.6938 0.6975
Ge2 0.6531 0.3062 0.3025

Computed properties:
total energy = -6.670 eV/atom
crystal system = monoclinic
total magnetic moment = 0.000 μB/f.u.
formation energy from the elements = -7.14 eV per formula unit
symmetry = No. 12


6.
Compound: Tl6Hg5Bi
Source: Alexandria
Functional: PBE
Structure: optimized geometry

abc: 5.4519 8.0211 8.6101
angles: 89.95 71.54 89.85
Sites, in units of the cell vectors:
Tl1 0.8327 0.2549 0.3345
Tl2 0.5000 0.2502 0.0000
Tl3 0.8328 0.7451 0.3345
Tl4 0.5000 0.7498 0.0000
Tl5 0.1672 0.2549 0.6655
Tl6 0.1673 0.7451 0.6655
Hg1 0.6668 0.0000 0.6664
Hg2 0.3332 0.0000 0.3336
Hg3 0.6657 0.5000 0.6685
Hg4 0.3343 0.5000 0.3315
Hg5 0.0000 0.5000 0.0000
Bi1 0.0000 0.0000 0.0000

Computed properties:
total energy = -1.647 eV/atom
crystal system = monoclinic
total magnetic moment = 0.000 μB/f.u.
formation energy from the elements = -0.18 eV per formula unit
symmetry = No. 12


7.
Compound: Ac2La3SmSb6
Source: Alexandria
Functional: PBE
Structure: optimized geometry

abc: 8.0761 8.0761 8.0734
angles: 99.61 99.61 119.99
Sites, in units of the cell vectors:
La1 0.8308 0.1692 0.5000
La2 0.5000 0.5000 0.5000
La3 0.1692 0.8308 0.5000
Sb1 0.9159 0.5922 0.7467
Sb2 0.5922 0.9159 0.7467
Sb3 0.4078 0.0841 0.2533
Sb4 0.7624 0.7624 0.2558
Sb5 0.0841 0.4078 0.2533
Sb6 0.2376 0.2376 0.7442
Ac1 0.3343 0.6657 0.0000
Ac2 0.6657 0.3343 0.0000
Sm1 0.0000 0.0000 0.0000

Computed properties:
total energy = -5.598 eV/atom
crystal system = monoclinic
total magnetic moment = 0.000 μB/f.u.
E_form (uncorrected) = -1.23 eV per atom
symmetry = No. 12


8.
Compound: SiOsSe2
Source: Alexandria
Functional: PBE
Structure: optimized geometry

abc: 4.5063 4.5063 4.5063
angles: 60.00 60.00 60.00
Sites, in units of the cell vectors:
Se1 0.7500 0.7500 0.7500
Se2 0.0000 0.0000 0.0000
Os1 0.5000 0.5000 0.5000
Si1 0.2500 0.2500 0.2500

Computed properties:
total energy = -5.083 eV/atom
crystal system = cubic
total magnetic moment = 0.000 μB/f.u.
E_form (uncorrected) = 0.82 eV per atom
symmetry = No. 216